# 1
## KRe2Mo (GGA-PBE)

Data for KRe2Mo after structural relaxation.

Lattice parameters (Å, degrees): 5.6437 5.6437 2.6254 81.31 81.31 119.90
Atoms (fractional coordinates):
Re 0.5000 0.5000 0.0000
Mo 0.0000 0.5000 0.5000
Re 0.0000 0.0000 0.0000
K 0.5000 0.0000 0.5000

## Properties
excess energy over the best structure of this formula in the dataset: 0.6972 eV/atom
total magnetic moment: 0.00 μB per formula unit
symmetry: C2/m
total DFT energy (no corrections): -31.1 eV per formula unit

---

# 2
## KReMo2 (GGA-PBE)

Data for KReMo2 after structural relaxation.

Lattice parameters (Å, degrees): 5.8305 5.8305 5.8305 149.85 129.76 59.72
Atoms (fractional coordinates):
Re 0.4684 0.4684 0.0000
Mo 0.0153 0.0153 0.0000
Mo 0.2812 0.7812 0.5000
K 0.7351 0.2351 0.5000

## Properties
excess energy over the best structure of this formula in the dataset: 0.6545 eV/atom
total magnetic moment: 0.00 μB per formula unit
symmetry: Imm2
total DFT energy (no corrections): -29.7 eV per formula unit